1.
# Pm6SnP4

An optimized crystal structure of Pm6SnP4 (PBE, Alexandria).

a b c (Å): 4.146 7.147 21.152
angles (deg): 90.00 90.00 106.86
Each line ends with the local moment (μB).
Positions (direct):
P1 0.592 0.183 0.624  0.00
P2 0.138 0.275 0.041  0.00
P3 0.138 0.275 0.459  0.00
P4 0.592 0.183 0.876  0.00
P5 0.862 0.725 0.959  0.00
P6 0.408 0.817 0.376  0.00
P7 0.408 0.817 0.124  0.00
P8 0.862 0.725 0.541  0.00
Pm1 0.227 0.454 0.581  0.01
Pm2 0.500 0.000 0.500  0.01
Pm3 0.337 0.673 0.250  0.16
Pm4 0.663 0.327 0.750  0.16
Pm5 0.041 0.082 0.158  0.07
Pm6 0.041 0.082 0.342  0.07
Pm7 0.227 0.454 0.919  0.01
Pm8 0.959 0.918 0.842  0.07
Pm9 0.959 0.918 0.658  0.07
Pm10 0.773 0.546 0.419  0.01
Pm11 0.500 0.000 0.000  0.01
Pm12 0.773 0.546 0.081  0.01
Sn1 0.662 0.325 0.250  -0.01
Sn2 0.338 0.675 0.750  -0.01

Values from the calculation:
Calculated formation energy (meV/atom): -1329
Uncorrected energy (eV for the cell shown): -137.5
Spin magnetization (μB per formula unit): 0.83

***

2.
# ErPuScO6

An optimized crystal structure of ErPuScO6 (PBE, Alexandria).

a b c (Å): 5.498 5.498 9.498
angles (deg): 90.00 90.00 120.00
Each line ends with the local moment (μB).
Positions (direct):
Sc1 0.333 0.667 0.250  0.01
Sc2 0.667 0.333 0.750  0.01
Er1 0.000 0.000 0.000  -0.01
Er2 0.000 0.000 0.500  -0.01
O1 0.993 0.649 0.365  -0.07
O2 0.007 0.351 0.635  -0.07
O3 0.657 0.007 0.365  -0.07
O4 0.993 0.343 0.135  -0.07
O5 0.351 0.343 0.365  -0.07
O6 0.351 0.007 0.135  -0.07
O7 0.343 0.351 0.865  -0.07
O8 0.657 0.649 0.135  -0.07
O9 0.007 0.657 0.865  -0.07
O10 0.649 0.657 0.635  -0.07
O11 0.649 0.993 0.865  -0.07
O12 0.343 0.993 0.635  -0.07
Pu1 0.667 0.333 0.250  2.45
Pu2 0.333 0.667 0.750  2.45

Values from the calculation:
Uncorrected energy (eV for the cell shown): -165.3
Spin magnetization (μB per formula unit): 2.00

***

3.
# Mg6Tl3In

An optimized crystal structure of Mg6Tl3In (PBE, Alexandria).

a b c (Å): 7.606 7.606 7.606
angles (deg): 60.00 60.00 60.00
Positions (direct):
Tl1 0.500 0.500 0.500
Tl2 0.750 0.750 0.750
Tl3 0.250 0.250 0.250
In1 0.000 0.000 0.000
Mg1 0.750 0.750 0.250
Mg2 0.750 0.250 0.250
Mg3 0.250 0.750 0.250
Mg4 0.250 0.250 0.750
Mg5 0.750 0.250 0.750
Mg6 0.250 0.750 0.750

Values from the calculation:
Calculated formation energy (meV/atom): 269
Uncorrected energy (eV for the cell shown): -16.7
Spin magnetization (μB per formula unit): 0.00

***

4.
# BaNaGdPb

An optimized crystal structure of BaNaGdPb (PBE, Alexandria).

a b c (Å): 5.831 5.831 5.831
angles (deg): 60.00 60.00 60.00
Each line ends with the local moment (μB).
Positions (direct):
Na1 0.000 0.000 0.000  0.01
Gd1 0.250 0.250 0.250  7.10
Ba1 0.750 0.750 0.750  0.04
Pb1 0.500 0.500 0.500  -0.05

Values from the calculation:
Calculated formation energy (meV/atom): -193
Uncorrected energy (eV for the cell shown): -21.8
Spin magnetization (μB per formula unit): 7.47

***

5.
# HgPb3Cl6

An optimized crystal structure of HgPb3Cl6 (PBE, Alexandria).

a b c (Å): 4.424 11.156 14.494
angles (deg): 97.29 90.00 90.00
Positions (direct):
Pb1 0.250 0.105 0.116
Pb2 0.250 0.659 0.592
Pb3 0.750 0.851 0.364
Pb4 0.750 0.341 0.408
Pb5 0.250 0.149 0.636
Pb6 0.750 0.895 0.884
Cl1 0.750 0.025 0.222
Cl2 0.250 0.313 0.279
Cl3 0.250 0.748 0.267
Cl4 0.750 0.615 0.451
Cl5 0.250 0.385 0.549
Cl6 0.750 0.687 0.721
Cl7 0.750 0.119 0.477
Cl8 0.250 0.881 0.523
Cl9 0.750 0.252 0.733
Cl10 0.250 0.869 0.017
Cl11 0.750 0.131 0.983
Cl12 0.250 0.975 0.778
Hg1 0.250 0.409 0.040
Hg2 0.750 0.591 0.960

Values from the calculation:
Uncorrected energy (eV for the cell shown): -65.3
Spin magnetization (μB per formula unit): 0.00

***

6.
# Na12Te3H5

An optimized crystal structure of Na12Te3H5 (PBE, Alexandria).

a b c (Å): 13.701 13.701 13.701
angles (deg): 109.47 109.47 109.47
Positions (direct):
H1 0.000 0.000 0.500
H2 0.250 0.375 0.625
H3 0.000 0.500 0.500
H4 0.000 0.000 0.000
H5 0.875 0.625 0.750
H6 0.500 0.500 0.000
H7 0.500 0.500 0.500
H8 0.250 0.875 0.125
H9 0.625 0.750 0.875
H10 0.375 0.125 0.750
H11 0.750 0.625 0.375
H12 0.500 0.000 0.500
H13 0.875 0.250 0.625
H14 0.500 0.000 0.000
H15 0.750 0.125 0.875
H16 0.625 0.875 0.250
H17 0.375 0.250 0.125
H18 0.125 0.375 0.250
H19 0.125 0.750 0.375
H20 0.000 0.500 0.000
Na1 0.185 0.099 0.980
Na2 0.618 0.020 0.205
Na3 0.882 0.586 0.901
Na4 0.020 0.618 0.705
Na5 0.205 0.520 0.618
Na6 0.520 0.205 0.118
Na7 0.118 0.705 0.520
Na8 0.705 0.586 0.185
Na9 0.586 0.705 0.685
Na10 0.099 0.185 0.480
Na11 0.914 0.099 0.618
Na12 0.901 0.815 0.520
Na13 0.795 0.480 0.382
Na14 0.980 0.599 0.185
Na15 0.086 0.185 0.205
Na16 0.382 0.401 0.086
Na17 0.086 0.901 0.382
Na18 0.586 0.882 0.401
Na19 0.020 0.401 0.815
Na20 0.185 0.086 0.705
Na21 0.315 0.520 0.401
Na22 0.882 0.295 0.480
Na23 0.480 0.685 0.099
Na24 0.414 0.118 0.599
Na25 0.685 0.480 0.599
Na26 0.599 0.618 0.414
Na27 0.099 0.914 0.118
Na28 0.901 0.086 0.882
Na29 0.118 0.414 0.099
Na30 0.401 0.382 0.586
Na31 0.382 0.980 0.795
Na32 0.815 0.901 0.020
Na33 0.414 0.295 0.315
Na34 0.914 0.815 0.795
Na35 0.520 0.315 0.901
Na36 0.295 0.882 0.980
Na37 0.599 0.980 0.685
Na38 0.685 0.205 0.586
Na39 0.980 0.382 0.295
Na40 0.618 0.599 0.914
Na41 0.795 0.315 0.914
Na42 0.401 0.020 0.315
Na43 0.815 0.914 0.295
Na44 0.480 0.795 0.882
Na45 0.295 0.414 0.815
Na46 0.205 0.685 0.086
Na47 0.705 0.118 0.020
Na48 0.315 0.795 0.414
Te1 0.375 0.750 0.625
Te2 0.750 0.875 0.625
Te3 0.750 0.375 0.125
Te4 0.250 0.125 0.375
Te5 0.625 0.375 0.750
Te6 0.625 0.250 0.375
Te7 0.250 0.625 0.875
Te8 0.875 0.125 0.250
Te9 0.125 0.250 0.875
Te10 0.875 0.750 0.125
Te11 0.125 0.875 0.750
Te12 0.375 0.625 0.250

Values from the calculation:
Uncorrected energy (eV for the cell shown): -201.5
Spin magnetization (μB per formula unit): 0.87

***

7.
# Be4P

An optimized crystal structure of Be4P (PBE, Alexandria).

a b c (Å): 4.259 4.259 4.259
angles (deg): 109.47 109.47 109.47
Positions (direct):
P1 0.000 0.000 0.000
Be1 0.000 0.500 0.000
Be2 0.500 0.000 0.000
Be3 0.000 0.000 0.500
Be4 0.500 0.500 0.500

Values from the calculation:
Calculated formation energy (meV/atom): 629
Uncorrected energy (eV for the cell shown): -17.2
Spin magnetization (μB per formula unit): 0.00

***

8.
# TcRhSe

An optimized crystal structure of TcRhSe (PBE, Alexandria).

a b c (Å): 4.642 4.642 4.642
angles (deg): 142.49 130.33 63.86
Positions (direct):
Rh1 0.007 0.007 0.000
Se1 0.330 0.330 0.000
Tc1 0.662 0.662 0.000

Values from the calculation:
Uncorrected energy (eV for the cell shown): -20.3
Spin magnetization (μB per formula unit): 0.00

***

9.
# KGe2Pt3

An optimized crystal structure of KGe2Pt3 (PBE, Alexandria).

a b c (Å): 3.989 9.977 9.977
angles (deg): 120.00 90.00 90.00
Positions (direct):
K1 0.500 0.000 0.000
K2 0.000 0.333 0.667
K3 0.000 0.667 0.333
Ge1 0.500 0.187 0.813
Ge2 0.500 0.374 0.187
Ge3 0.500 0.626 0.813
Ge4 0.500 0.813 0.187
Ge5 0.500 0.187 0.374
Ge6 0.500 0.813 0.626
Pt1 0.000 0.704 0.704
Pt2 0.500 0.500 0.000
Pt3 0.000 0.296 0.296
Pt4 0.000 0.000 0.296
Pt5 0.000 0.296 0.000
Pt6 0.000 0.704 0.000
Pt7 0.500 0.000 0.500
Pt8 0.500 0.500 0.500
Pt9 0.000 0.000 0.704

Values from the calculation:
Calculated formation energy (meV/atom): -332
Uncorrected energy (eV for the cell shown): -91.3
Spin magnetization (μB per formula unit): 0.00

***

10.
# Pr3Zn2Sn3

An optimized crystal structure of Pr3Zn2Sn3 (PBE, Alexandria).

a b c (Å): 4.551 6.265 16.261
angles (deg): 90.00 90.00 111.30
Positions (direct):
Pr1 0.596 0.192 0.250
Pr2 0.120 0.240 0.604
Pr3 0.120 0.240 0.896
Pr4 0.880 0.760 0.396
Pr5 0.404 0.808 0.750
Pr6 0.880 0.760 0.104
Sn1 0.317 0.635 0.250
Sn2 0.395 0.790 0.953
Sn3 0.683 0.365 0.750
Sn4 0.605 0.210 0.453
Sn5 0.395 0.790 0.547
Sn6 0.605 0.210 0.047
Zn1 0.153 0.306 0.372
Zn2 0.847 0.694 0.872
Zn3 0.847 0.694 0.628
Zn4 0.153 0.306 0.128

Values from the calculation:
Calculated formation energy (meV/atom): -587
Uncorrected energy (eV for the cell shown): -67.2
Spin magnetization (μB per formula unit): 0.00

***

11.
# Sr2NpUS6

An optimized crystal structure of Sr2NpUS6 (PBE, Alexandria).

a b c (Å): 6.984 7.449 10.167
angles (deg): 90.00 90.10 90.00
Each line ends with the local moment (μB).
Positions (direct):
Sr1 0.026 0.923 0.250  0.00
Sr2 0.474 0.423 0.250  0.00
Sr3 0.526 0.577 0.750  0.00
Sr4 0.974 0.077 0.750  0.00
S1 0.613 0.038 0.253  -0.06
S2 0.887 0.538 0.247  -0.06
S3 0.810 0.800 0.939  -0.06
S4 0.190 0.200 0.061  -0.06
S5 0.805 0.806 0.559  -0.06
S6 0.695 0.306 0.941  -0.06
S7 0.305 0.694 0.059  -0.06
S8 0.387 0.962 0.747  -0.06
S9 0.310 0.700 0.439  -0.06
S10 0.195 0.194 0.441  -0.06
S11 0.113 0.462 0.753  -0.06
S12 0.690 0.300 0.561  -0.06
U1 0.000 0.500 0.000  1.73
U2 0.500 0.000 0.500  1.73
Np1 0.500 0.000 0.000  3.50
Np2 0.000 0.500 0.500  3.50

Values from the calculation:
Uncorrected energy (eV for the cell shown): -138.1
Spin magnetization (μB per formula unit): 5.00

***

12.
# SrPd6Au2

An optimized crystal structure of SrPd6Au2 (PBE, Alexandria).

a b c (Å): 5.546 5.546 7.156
angles (deg): 90.00 90.00 120.00
Positions (direct):
Pd1 0.000 0.500 0.813
Pd2 0.500 0.500 0.187
Pd3 0.500 0.000 0.187
Pd4 0.500 0.000 0.813
Pd5 0.000 0.500 0.187
Pd6 0.500 0.500 0.813
Sr1 0.000 0.000 0.000
Au1 0.667 0.333 0.500
Au2 0.333 0.667 0.500

Values from the calculation:
Calculated formation energy (meV/atom): -25
Uncorrected energy (eV for the cell shown): -39.6
Spin magnetization (μB per formula unit): 0.00

***

13.
# Li2ZrSe

An optimized crystal structure of Li2ZrSe (PBE, Alexandria).

a b c (Å): 4.039 3.796 4.584
angles (deg): 90.00 90.00 90.00
Positions (direct):
Zr1 0.000 0.500 0.500
Li1 0.000 0.000 0.000
Li2 0.500 0.500 0.000
Se1 0.500 0.000 0.500

Values from the calculation:
Uncorrected energy (eV for the cell shown): -17.6
Spin magnetization (μB per formula unit): 0.00

***

14.
# Ca2LaBe

An optimized crystal structure of Ca2LaBe (PBE, Alexandria).

a b c (Å): 9.158 9.158 7.199
angles (deg): 50.50 50.50 90.00
Positions (direct):
Ca1 0.875 0.788 0.750
Ca2 0.212 0.625 0.250
Ca3 0.538 0.125 0.250
Ca4 0.375 0.462 0.750
Be1 0.250 0.750 0.500
Be2 0.500 0.500 0.000
La1 0.750 0.250 0.500
La2 0.000 0.000 0.000

Values from the calculation:
Calculated formation energy (meV/atom): 436
Uncorrected energy (eV for the cell shown): -21.8
Spin magnetization (μB per formula unit): 0.00

***

15.
# Cd2AsPd2

An optimized crystal structure of Cd2AsPd2 (PBE, Alexandria).

a b c (Å): 5.680 5.680 7.140
angles (deg): 77.42 77.42 56.38
Positions (direct):
Cd1 0.283 0.045 0.346
Cd2 0.717 0.955 0.654
Cd3 0.045 0.283 0.846
Cd4 0.955 0.717 0.154
As1 0.711 0.289 0.250
As2 0.289 0.711 0.750
Pd1 0.499 0.259 0.977
Pd2 0.501 0.741 0.023
Pd3 0.259 0.499 0.477
Pd4 0.741 0.501 0.523

Values from the calculation:
Calculated formation energy (meV/atom): -305
Uncorrected energy (eV for the cell shown): -36.8
Spin magnetization (μB per formula unit): 0.00

***

16.
# TiMnCo2H

An optimized crystal structure of TiMnCo2H (PBE, Alexandria).

a b c (Å): 3.673 3.673 3.663
angles (deg): 90.00 90.00 90.00
Each line ends with the local moment (μB).
Positions (direct):
H1 0.000 0.000 0.000  -0.01
Co1 0.000 0.500 0.000  0.25
Co2 0.500 0.000 0.000  0.25
Ti1 0.500 0.500 0.500  -0.32
Mn1 0.000 0.000 0.500  2.12

Values from the calculation:
Uncorrected energy (eV for the cell shown): -35.6
Spin magnetization (μB per formula unit): 2.31

***

17.
# Ac3Pt2F

An optimized crystal structure of Ac3Pt2F (PBE, Alexandria).

a b c (Å): 4.285 8.929 17.753
angles (deg): 90.00 90.00 90.00
Positions (direct):
Ac1 0.250 0.836 0.727
Ac2 0.250 0.956 0.098
Ac3 0.750 0.164 0.273
Ac4 0.250 0.456 0.402
Ac5 0.750 0.544 0.598
Ac6 0.750 0.372 0.072
Ac7 0.250 0.628 0.928
Ac8 0.250 0.336 0.773
Ac9 0.750 0.664 0.227
Ac10 0.250 0.128 0.572
Ac11 0.750 0.044 0.902
Ac12 0.750 0.872 0.428
F1 0.750 0.105 0.129
F2 0.250 0.395 0.629
F3 0.750 0.605 0.371
F4 0.250 0.895 0.871
Pt1 0.250 0.264 0.961
Pt2 0.750 0.736 0.039
Pt3 0.250 0.764 0.539
Pt4 0.750 0.600 0.777
Pt5 0.250 0.400 0.223
Pt6 0.750 0.100 0.723
Pt7 0.250 0.900 0.277
Pt8 0.750 0.236 0.461

Values from the calculation:
Uncorrected energy (eV for the cell shown): -145.1
Spin magnetization (μB per formula unit): 0.00

***

18.
# Tb4Hg3Os

An optimized crystal structure of Tb4Hg3Os (PBE, Alexandria).

a b c (Å): 3.548 3.548 15.584
angles (deg): 90.00 90.00 90.00
Each line ends with the local moment (μB).
Positions (direct):
Tb1 0.000 0.000 0.629  0.07
Tb2 0.000 0.000 0.105  0.00
Tb3 0.000 0.000 0.371  0.07
Tb4 0.000 0.000 0.895  0.00
Os1 0.500 0.500 0.000  0.00
Hg1 0.500 0.500 0.755  0.00
Hg2 0.500 0.500 0.245  0.00
Hg3 0.500 0.500 0.500  0.01

Values from the calculation:
Calculated formation energy (meV/atom): -410
Uncorrected energy (eV for the cell shown): -33.9
Spin magnetization (μB per formula unit): 0.20